[1]
Density functional theory data (GGA-PBE) for a relaxed structure of ScFeTcGe.

Output
- spin magnetization (μB per formula unit) = 1.8

Geometry as CIF:
```
data_ScFeTcGe
_cell_length_a 6.1453
_cell_length_b 6.1453
_cell_length_c 6.1453
_cell_angle_alpha 90.00
_cell_angle_beta 90.00
_cell_angle_gamma 90.00
_space_group_name_H-M_alt 'F -4 3 m'
_space_group_IT_number 216
_space_group_name_Hall 'F -4 2 3'
loop_
_atom_site_label
_atom_site_type_symbol
_atom_site_fract_x
_atom_site_fract_y
_atom_site_fract_z
Sc1 Sc 0.0000 0.0000 0.0000
Fe1 Fe 0.2500 0.2500 0.7500
Tc1 Tc 0.2500 0.2500 0.2500
Ge1 Ge 0.0000 0.0000 0.5000
```



[2]
Density functional theory data (GGA-PBE) for a relaxed structure of NdPt4Au.

Output
- formation energy (kJ/mol of atoms) = -69
- spin magnetization (μB per formula unit) = 0.0

Geometry as CIF:
```
data_NdPt4Au
_cell_length_a 7.6194
_cell_length_b 7.6194
_cell_length_c 7.6194
_cell_angle_alpha 90.00
_cell_angle_beta 90.00
_cell_angle_gamma 90.00
_space_group_name_H-M_alt 'F -4 3 m'
_space_group_IT_number 216
_space_group_name_Hall 'F -4 2 3'
loop_
_atom_site_label
_atom_site_type_symbol
_atom_site_fract_x
_atom_site_fract_y
_atom_site_fract_z
Nd1 Nd 0.0000 0.0000 0.0000
Pt1 Pt 0.1244 0.1244 0.6244
Au1 Au 0.2500 0.2500 0.2500
```



Per-record total energy, Ry per atom: -0.5560, -0.4474